No. 1
The following is a DFT calculation (PBE) of a relaxed CdTeMo2Ir crystal.

```
data_CdTeMo2Ir
_cell_length_a 9.667
_cell_length_b 3.074
_cell_length_c 7.832
_cell_angle_alpha 90.00
_cell_angle_beta 118.68
_cell_angle_gamma 90.00
_symmetry_space_group_name_H-M 'C 1 m 1'
_symmetry_Int_Tables_number 8
_symmetry_space_group_name_Hall 'C -2y'
loop_
_atom_site_label
_atom_site_fract_x
_atom_site_fract_y
_atom_site_fract_z
Cd1 0.000 0.000 0.000
Te1 0.347 0.000 0.285
Mo1 0.173 0.500 0.536
Mo2 0.205 0.000 0.794
Ir1 0.443 0.000 0.664
```

Summary:
Polymorph energy (0 for the lowest one) = 64 meV per atom
Energy relative to the elements, uncorrected = 0.27 eV/atom

No. 2
The following is a DFT calculation (PBE) of a relaxed CdTeMo2Ir crystal.

```
data_CdTeMo2Ir
_cell_length_a 9.706
_cell_length_b 3.014
_cell_length_c 8.877
_cell_angle_alpha 90.00
_cell_angle_beta 122.82
_cell_angle_gamma 90.00
_symmetry_space_group_name_H-M 'C 1 m 1'
_symmetry_Int_Tables_number 8
_symmetry_space_group_name_Hall 'C -2y'
loop_
_atom_site_label
_atom_site_fract_x
_atom_site_fract_y
_atom_site_fract_z
Cd1 0.000 0.000 0.000
Te1 0.440 0.500 0.319
Mo1 0.236 0.000 0.655
Mo2 0.417 0.500 0.617
Ir1 0.156 0.500 0.856
```

Summary:
Polymorph energy (0 for the lowest one) = 127 meV per atom
Energy relative to the elements, uncorrected = 0.33 eV/atom

No. 3
The following is a DFT calculation (PBE) of a relaxed CdTeMo2Ir crystal.

```
data_CdTeMo2Ir
_cell_length_a 4.021
_cell_length_b 2.938
_cell_length_c 8.947
_cell_angle_alpha 90.00
_cell_angle_beta 90.37
_cell_angle_gamma 90.00
_symmetry_space_group_name_H-M 'P 1 m 1'
_symmetry_Int_Tables_number 6
_symmetry_space_group_name_Hall 'P -2y'
loop_
_atom_site_label
_atom_site_fract_x
_atom_site_fract_y
_atom_site_fract_z
Cd1 0.000 0.000 0.000
Te1 0.991 0.000 0.362
Mo1 0.493 0.500 0.533
Mo2 0.497 0.500 0.809
Ir1 0.994 0.000 0.668
```

Summary:
Polymorph energy (0 for the lowest one) = 0 meV per atom
Energy relative to the elements, uncorrected = 0.20 eV/atom

Number 1: theoretical density 10.15 g/cm3. Number 2: theoretical density 9.50 g/cm3. Number 3: theoretical density 9.81 g/cm3.